No. 1
Entry from the Alexandria database: an optimized crystal structure of Ce5Pu2S12 (GGA-PBE).

DFT total energy   -140.80 eV for the cell shown
Raw formation energy   -1.73 eV per atom

Unit cell a=8.3232 b=8.3232 c=9.2471 alpha=107.88 beta=107.88 gamma=57.42
Atoms (fractional coordinates):
Ce1 0.0000 0.0000 0.0000
Ce2 0.2717 0.2717 0.5596
Ce3 0.2988 0.2988 0.1095
Ce4 0.7012 0.7012 0.8905
Ce5 0.7283 0.7283 0.4404
Pu1 0.2468 0.7532 0.5000
Pu2 0.7532 0.2468 0.5000
S1 0.0656 0.0656 0.3493
S2 0.0852 0.5248 0.3541
S3 0.0867 0.6382 0.9926
S4 0.3618 0.9133 0.0074
S5 0.4752 0.9148 0.6459
S6 0.4793 0.4793 0.6842
S7 0.5207 0.5207 0.3158
S8 0.5248 0.0852 0.3541
S9 0.6382 0.0867 0.9926
S10 0.9133 0.3618 0.0074
S11 0.9148 0.4752 0.6459
S12 0.9344 0.9344 0.6507

***

No. 2
Entry from the Alexandria database: an optimized crystal structure of Ce2Pu2S7 (GGA-PBE).

DFT total energy   -175.25 eV for the cell shown
Raw formation energy   -1.65 eV per atom

Unit cell a=9.2156 b=9.2156 c=9.2156 alpha=60.00 beta=60.00 gamma=60.00
Atoms (fractional coordinates):
Ce1 0.0000 0.0000 0.0000
Ce2 0.0000 0.0000 0.5000
Ce3 0.0000 0.5000 0.0000
Ce4 0.5000 0.0000 0.0000
Pu1 0.0000 0.5000 0.5000
Pu2 0.5000 0.0000 0.5000
Pu3 0.5000 0.5000 0.0000
Pu4 0.5000 0.5000 0.5000
S1 0.1250 0.1250 0.1250
S2 0.1436 0.1436 0.6063
S3 0.1436 0.6063 0.1436
S4 0.1436 0.6063 0.6063
S5 0.3936 0.3936 0.8564
S6 0.3936 0.8564 0.3936
S7 0.3936 0.8564 0.8564
S8 0.6063 0.1436 0.1436
S9 0.6063 0.1436 0.6063
S10 0.6063 0.6063 0.1436
S11 0.8564 0.3936 0.3936
S12 0.8564 0.3936 0.8564
S13 0.8564 0.8564 0.3936
S14 0.8750 0.8750 0.8750

***

No. 3
Entry from the Alexandria database: an optimized crystal structure of Ce2Pu3S8 (GGA-PBE).

DFT total energy   -109.35 eV for the cell shown
Raw formation energy   -1.65 eV per atom

Unit cell a=8.2569 b=8.2569 c=4.6932 alpha=90.00 beta=90.00 gamma=109.07
Atoms (fractional coordinates):
Ce1 0.2342 0.7658 0.0000
Ce2 0.7658 0.2342 0.0000
Pu1 0.2229 0.2229 0.5000
Pu2 0.5000 0.5000 0.0000
Pu3 0.7771 0.7771 0.5000
S1 0.1258 0.8742 0.5000
S2 0.1365 0.3802 0.0000
S3 0.3802 0.1365 0.0000
S4 0.3822 0.6178 0.5000
S5 0.6178 0.3822 0.5000
S6 0.6198 0.8635 0.0000
S7 0.8635 0.6198 0.0000
S8 0.8742 0.1258 0.5000

***

No. 4
Entry from the Alexandria database: an optimized crystal structure of CePu2S3 (GGA-PBE).

DFT total energy   -113.69 eV for the cell shown
Raw formation energy   -1.64 eV per atom

Unit cell a=5.6021 b=13.3210 c=4.0572 alpha=90.00 beta=90.00 gamma=90.00
Atoms (fractional coordinates):
Ce1 0.0000 0.0000 0.0000
Ce2 0.5000 0.5000 0.0000
Pu1 0.0000 0.3563 0.5000
Pu2 0.0000 0.6437 0.5000
Pu3 0.5000 0.1437 0.5000
Pu4 0.5000 0.8563 0.5000
S1 0.0000 0.1510 0.5000
S2 0.0000 0.5000 0.0000
S3 0.0000 0.8490 0.5000
S4 0.5000 0.0000 0.0000
S5 0.5000 0.3490 0.5000
S6 0.5000 0.6510 0.5000

***

No. 5
Entry from the Alexandria database: an optimized crystal structure of Ce2PuS6 (GGA-PBE).

DFT total energy   -65.71 eV for the cell shown
Raw formation energy   -1.64 eV per atom

Unit cell a=8.0096 b=8.0096 c=8.0096 alpha=146.65 beta=131.85 gamma=59.83
Atoms (fractional coordinates):
Ce1 0.1665 0.1665 0.0000
Ce2 0.8335 0.8335 0.0000
Pu1 0.5000 0.5000 0.0000
S1 0.0885 0.3354 0.7531
S2 0.2546 0.0000 0.2546
S3 0.4177 0.6646 0.7531
S4 0.5823 0.3354 0.2469
S5 0.7454 0.0000 0.7454
S6 0.9115 0.6646 0.2469

***

No. 6
Entry from the Alexandria database: an optimized crystal structure of Ce4PuS6 (GGA-PBE).

DFT total energy   -165.69 eV for the cell shown
Raw formation energy   -1.82 eV per atom

Unit cell a=8.0075 b=8.0075 c=8.0075 alpha=90.49 beta=90.49 gamma=90.49
Atoms (fractional coordinates):
Ce1 0.1288 0.7500 0.3712
Ce2 0.2500 0.2500 0.2500
Ce3 0.2500 0.6288 0.8712
Ce4 0.3712 0.1288 0.7500
Ce5 0.6288 0.8712 0.2500
Ce6 0.7500 0.3712 0.1288
Ce7 0.7500 0.7500 0.7500
Ce8 0.8712 0.2500 0.6288
Pu1 0.0000 0.0000 0.0000
Pu2 0.5000 0.5000 0.5000
S1 0.0611 0.9103 0.6816
S2 0.0897 0.3184 0.9389
S3 0.1816 0.4103 0.5611
S4 0.3184 0.9389 0.0897
S5 0.4103 0.5611 0.1816
S6 0.4389 0.8184 0.5897
S7 0.5611 0.1816 0.4103
S8 0.5897 0.4389 0.8184
S9 0.6816 0.0611 0.9103
S10 0.8184 0.5897 0.4389
S11 0.9103 0.6816 0.0611
S12 0.9389 0.0897 0.3184

***

No. 7
Entry from the Alexandria database: an optimized crystal structure of Ce4Pu3S8 (GGA-PBE).

DFT total energy   -127.94 eV for the cell shown
Raw formation energy   -1.88 eV per atom

Unit cell a=7.9866 b=7.9866 c=7.9662 alpha=119.90 beta=119.90 gamma=90.07
Atoms (fractional coordinates):
Ce1 0.0000 0.0000 0.0000
Ce2 0.0000 0.5000 0.0000
Ce3 0.5000 0.0000 0.0000
Ce4 0.5000 0.5000 0.5000
Pu1 0.0000 0.0000 0.5000
Pu2 0.0000 0.5000 0.5000
Pu3 0.5000 0.0000 0.5000
S1 0.2481 0.7519 0.5000
S2 0.2492 0.2492 0.5006
S3 0.2491 0.2491 0.9963
S4 0.2506 0.7494 0.0000
S5 0.7494 0.2506 0.0000
S6 0.7509 0.7509 0.0037
S7 0.7508 0.7508 0.4994
S8 0.7519 0.2481 0.5000

***

No. 8
Entry from the Alexandria database: an optimized crystal structure of Ce2PuS5 (GGA-PBE).

DFT total energy   -246.73 eV for the cell shown
Raw formation energy   -1.86 eV per atom

Unit cell a=11.8421 b=8.0546 c=7.4243 alpha=90.00 beta=90.00 gamma=90.00
Atoms (fractional coordinates):
Ce1 0.1780 0.0011 0.0212
Ce2 0.1780 0.4989 0.0212
Ce3 0.3220 0.5011 0.5212
Ce4 0.3220 0.9989 0.5212
Ce5 0.6780 0.0011 0.4788
Ce6 0.6780 0.4989 0.4788
Ce7 0.8220 0.5011 0.9788
Ce8 0.8220 0.9989 0.9788
Pu1 0.0068 0.2500 0.5666
Pu2 0.4932 0.7500 0.0666
Pu3 0.5068 0.2500 0.9334
Pu4 0.9932 0.7500 0.4334
S1 0.0017 0.2500 0.9590
S2 0.0996 0.5405 0.6637
S3 0.0996 0.9595 0.6637
S4 0.1894 0.2500 0.3297
S5 0.2142 0.7500 0.3006
S6 0.2858 0.2500 0.8006
S7 0.3106 0.7500 0.8297
S8 0.4004 0.0405 0.1637
S9 0.4004 0.4595 0.1637
S10 0.4983 0.7500 0.4590
S11 0.5017 0.2500 0.5410
S12 0.5996 0.5405 0.8363
S13 0.5996 0.9595 0.8363
S14 0.6894 0.2500 0.1703
S15 0.7142 0.7500 0.1994
S16 0.7858 0.2500 0.6994
S17 0.8106 0.7500 0.6703
S18 0.9004 0.0405 0.3363
S19 0.9004 0.4595 0.3363
S20 0.9983 0.7500 0.0410

***

No. 9
Entry from the Alexandria database: an optimized crystal structure of CePu2S5 (GGA-PBE).

DFT total energy   -276.05 eV for the cell shown
Raw formation energy   -1.72 eV per atom

Unit cell a=11.6864 b=8.0171 c=7.3786 alpha=90.00 beta=90.00 gamma=90.00
Atoms (fractional coordinates):
Ce1 0.0105 0.2500 0.0794
Ce2 0.4895 0.7500 0.5794
Ce3 0.5105 0.2500 0.4206
Ce4 0.9895 0.7500 0.9206
Pu1 0.1782 0.0018 0.5185
Pu2 0.1782 0.4982 0.5185
Pu3 0.3218 0.5018 0.0185
Pu4 0.3218 0.9982 0.0185
Pu5 0.6782 0.0018 0.9815
Pu6 0.6782 0.4982 0.9815
Pu7 0.8218 0.5018 0.4815
Pu8 0.8218 0.9982 0.4815
S1 0.9996 0.2500 0.4660
S2 0.0004 0.7500 0.5340
S3 0.1004 0.5468 0.1642
S4 0.1004 0.9532 0.1642
S5 0.1900 0.2500 0.8269
S6 0.2205 0.7500 0.7960
S7 0.2795 0.2500 0.2960
S8 0.3100 0.7500 0.3269
S9 0.3996 0.0468 0.6642
S10 0.3996 0.4532 0.6642
S11 0.4996 0.2500 0.0340
S12 0.5004 0.7500 0.9660
S13 0.6004 0.5468 0.3358
S14 0.6004 0.9532 0.3358
S15 0.6900 0.2500 0.6731
S16 0.7205 0.7500 0.7040
S17 0.7795 0.2500 0.2040
S18 0.8100 0.7500 0.1731
S19 0.8996 0.0468 0.8358
S20 0.8996 0.4532 0.8358

***

No. 10
Entry from the Alexandria database: an optimized crystal structure of CePu2S3 (GGA-PBE).

DFT total energy   -116.21 eV for the cell shown
Raw formation energy   -1.85 eV per atom

Unit cell a=3.9863 b=5.6298 c=11.9611 alpha=90.00 beta=90.00 gamma=90.00
Atoms (fractional coordinates):
Ce1 0.0000 0.0000 0.0000
Ce2 0.5000 0.5000 0.5000
Pu1 0.0000 0.0000 0.3339
Pu2 0.0000 0.0000 0.6661
Pu3 0.5000 0.5000 0.1661
Pu4 0.5000 0.5000 0.8339
S1 0.0000 0.5000 0.0000
S2 0.0000 0.5000 0.3285
S3 0.0000 0.5000 0.6715
S4 0.5000 0.0000 0.1715
S5 0.5000 0.0000 0.5000
S6 0.5000 0.0000 0.8285

***

No. 11
Entry from the Alexandria database: an optimized crystal structure of CePuS4 (GGA-PBE).

DFT total energy   -91.38 eV for the cell shown
Raw formation energy   -1.49 eV per atom

Unit cell a=5.2687 b=5.2687 c=12.8758 alpha=90.00 beta=90.00 gamma=90.00
Atoms (fractional coordinates):
Ce1 0.0000 0.0000 0.0000
Ce2 0.5000 0.5000 0.5000
Pu1 0.0000 0.5000 0.7500
Pu2 0.5000 0.0000 0.2500
S1 0.0000 0.0000 0.2162
S2 0.0000 0.0000 0.7838
S3 0.0000 0.5000 0.5442
S4 0.0000 0.5000 0.9558
S5 0.5000 0.0000 0.0442
S6 0.5000 0.0000 0.4558
S7 0.5000 0.5000 0.2838
S8 0.5000 0.5000 0.7162

***

No. 12
Entry from the Alexandria database: an optimized crystal structure of Ce6PuS8 (GGA-PBE).

DFT total energy   -112.74 eV for the cell shown
Raw formation energy   -1.99 eV per atom

Unit cell a=8.0426 b=8.0426 c=8.0426 alpha=60.00 beta=60.00 gamma=60.00
Atoms (fractional coordinates):
Ce1 0.0000 0.0000 0.5000
Ce2 0.0000 0.5000 0.0000
Ce3 0.0000 0.5000 0.5000
Ce4 0.5000 0.0000 0.0000
Ce5 0.5000 0.0000 0.5000
Ce6 0.5000 0.5000 0.0000
Pu1 0.0000 0.0000 0.0000
S1 0.2465 0.2465 0.7535
S2 0.2465 0.7535 0.2465
S3 0.2465 0.7535 0.7535
S4 0.2500 0.2500 0.2500
S5 0.7500 0.7500 0.7500
S6 0.7535 0.2465 0.2465
S7 0.7535 0.2465 0.7535
S8 0.7535 0.7535 0.2465

***

> Look up the DFT total energy of the fifth one.

-65.71 eV for the cell shown